(1)
{
  "formula": "SmTmScCd",
  "functional": "PBE",
  "state": "optimized geometry",
  "crystal_system": "tetragonal",
  "delta_e_f_mev_per_atom": -120,
  "de_polymorph_ev_per_fu": 0.000,
  "lattice_angstrom": [[-0.445, -3.366, 1.070], [-0.448, -1.016, -3.383], [8.548, -1.360, -0.723]],
  "species": ["Sm", "Tm", "Sc", "Cd"],
  "fractional_positions": [[0.500, 0.500, 0.814], [0.500, 0.500, 0.331], [0.000, 0.000, 0.078], [0.000, 0.000, 0.562]]
}

(2)
{
  "formula": "SmScZnCd",
  "functional": "PBE",
  "state": "optimized geometry",
  "crystal_system": "tetragonal",
  "delta_e_f_mev_per_atom": -320,
  "de_polymorph_ev_per_fu": 0.000,
  "lattice_angstrom": [[-2.892, 1.982, -0.149], [-1.923, -2.724, 1.095], [1.071, 2.098, 7.097]],
  "species": ["Sm", "Sc", "Zn", "Cd"],
  "fractional_positions": [[0.500, 0.500, 0.802], [0.500, 0.500, 0.343], [0.000, 0.000, 0.540], [0.000, 0.000, 0.100]]
}

(3)
{
  "formula": "SmScZnCd",
  "functional": "PBE",
  "state": "optimized geometry",
  "crystal_system": "cubic",
  "delta_e_f_mev_per_atom": -285,
  "de_polymorph_ev_per_fu": 0.137,
  "lattice_angstrom": [[-0.037, 2.427, -4.481], [-4.239, 2.335, -1.598], [-0.207, 5.090, -0.139]],
  "species": ["Sc", "Zn", "Sm", "Cd"],
  "fractional_positions": [[0.000, 0.000, 0.000], [0.250, 0.250, 0.250], [0.500, 0.500, 0.500], [0.750, 0.750, 0.750]]
}

(4)
{
  "formula": "Sc2CdSn",
  "functional": "PBE",
  "state": "optimized geometry",
  "crystal_system": "trigonal",
  "delta_e_f_mev_per_atom": 12,
  "lattice_angstrom": [[0.138, 9.388, 5.587], [3.058, 8.173, 6.574], [2.842, 9.866, 3.734]],
  "species": ["Sc", "Sc", "Sn", "Cd"],
  "fractional_positions": [[0.908, 0.908, 0.908], [0.092, 0.092, 0.092], [0.000, 0.000, 0.000], [0.500, 0.500, 0.500]]
}

Listing E for the structures above in their given order: -16.92, -14.52, -14.38, -17.53 eV for the cell shown.